Density functional theory data (GGA-PBE) for an optimized crystal structure of Pm3PrMg3.

Properties
The crystal system is monoclinic. The value obtained for the calculated formation energy is 0.08 eV/atom. As for the density: 5.0 g/cm³. The value obtained for the total magnetization is 1.83 Bohr magnetons per cell. The final energy comes out at -3.32 eV/atom.

The structure in CIF format:
```
data_Pm3PrMg3
_chemical_formula_sum 'Pm6 Pr2 Mg6'
_cell_length_a 6.531
_cell_length_b 6.531
_cell_length_c 10.937
_cell_angle_alpha 91.14
_cell_angle_beta 91.14
_cell_angle_gamma 111.68
_symmetry_space_group_name_H-M 'P 1'
_symmetry_Int_Tables_number 1
loop_
_symmetry_equiv_pos_as_xyz
'x,y,z'
loop_
_atom_site_label
_atom_site_fract_x
_atom_site_fract_y
_atom_site_fract_z
Pm1 0.175 0.825 0.000
Pm2 0.229 0.771 0.500
Pm3 0.459 0.459 0.162
Pm4 0.541 0.541 0.838
Pm5 0.771 0.229 0.500
Pm6 0.825 0.175 0.000
Pr1 0.290 0.290 0.512
Pr2 0.710 0.710 0.488
Mg1 0.000 0.000 0.258
Mg2 0.000 0.000 0.742
Mg3 0.018 0.501 0.750
Mg4 0.499 0.982 0.250
Mg5 0.501 0.018 0.750
Mg6 0.982 0.499 0.250
```

=====

Density functional theory data (GGA-PBE) for an optimized crystal structure of Pm3PrMg6.

Properties
The crystal system is monoclinic. The value obtained for the calculated formation energy is -0.09 eV/atom. As for the density: 4.3 g/cm³. The value obtained for the total magnetization is 0.00 Bohr magnetons per cell. The final energy comes out at -2.95 eV/atom.

The structure in CIF format:
```
data_Pm3PrMg6
_chemical_formula_sum 'Pm6 Pr2 Mg12'
_cell_length_a 9.455
_cell_length_b 5.362
_cell_length_c 11.460
_cell_angle_alpha 90.00
_cell_angle_beta 105.86
_cell_angle_gamma 90.00
_symmetry_space_group_name_H-M 'P 1'
_symmetry_Int_Tables_number 1
loop_
_symmetry_equiv_pos_as_xyz
'x,y,z'
loop_
_atom_site_label
_atom_site_fract_x
_atom_site_fract_y
_atom_site_fract_z
Pm1 0.038 0.250 0.395
Pm2 0.149 0.750 0.205
Pm3 0.256 0.250 0.004
Pm4 0.744 0.750 0.996
Pm5 0.851 0.250 0.795
Pm6 0.962 0.750 0.605
Pr1 0.446 0.250 0.608
Pr2 0.554 0.750 0.392
Mg1 0.058 0.750 0.901
Mg2 0.159 0.250 0.708
Mg3 0.256 0.750 0.509
Mg4 0.354 0.750 0.806
Mg5 0.356 0.250 0.301
Mg6 0.452 0.750 0.096
Mg7 0.548 0.250 0.904
Mg8 0.644 0.750 0.699
Mg9 0.646 0.250 0.194
Mg10 0.744 0.250 0.491
Mg11 0.841 0.750 0.292
Mg12 0.942 0.250 0.099
```

=====

Density functional theory data (GGA-PBE) for an optimized crystal structure of Pm6Pr2Mg.

Properties
The crystal system is hexagonal. The value obtained for the calculated formation energy is 0.07 eV/atom. As for the density: 6.3 g/cm³. The calculation puts the energy above the most stable polymorph in this dataset at 2.3 meV/atom. The value obtained for the total magnetization is 0.00 Bohr magnetons per cell. The final energy comes out at -4.34 eV/atom.

The structure in CIF format:
```
data_Pm6Pr2Mg
_chemical_formula_sum 'Pm6 Pr2 Mg1'
_cell_length_a 3.641
_cell_length_b 3.641
_cell_length_c 26.897
_cell_angle_alpha 90.00
_cell_angle_beta 90.00
_cell_angle_gamma 120.00
_symmetry_space_group_name_H-M 'P 1'
_symmetry_Int_Tables_number 1
loop_
_symmetry_equiv_pos_as_xyz
'x,y,z'
loop_
_atom_site_label
_atom_site_fract_x
_atom_site_fract_y
_atom_site_fract_z
Pm1 0.000 0.000 0.064
Pm2 0.000 0.000 0.289
Pm3 0.000 0.000 0.711
Pm4 0.000 0.000 0.936
Pm5 0.333 0.667 0.397
Pm6 0.333 0.667 0.603
Pr1 0.333 0.667 0.173
Pr2 0.333 0.667 0.827
Mg1 0.000 0.000 0.500
```

=====

Density functional theory data (GGA-PBE) for an optimized crystal structure of Pm2PrMg.

Properties
The crystal system is tetragonal. The value obtained for the calculated formation energy is 0.00 eV/atom. As for the density: 5.9 g/cm³. The calculation puts the energy above the most stable polymorph in this dataset at 40.5 meV/atom. The value obtained for the total magnetization is 0.00 Bohr magnetons per cell. The final energy comes out at -3.97 eV/atom.

The structure in CIF format:
```
data_Pm2PrMg
_chemical_formula_sum 'Pm2 Pr1 Mg1'
_cell_length_a 5.023
_cell_length_b 5.023
_cell_length_c 5.059
_cell_angle_alpha 90.00
_cell_angle_beta 90.00
_cell_angle_gamma 90.00
_symmetry_space_group_name_H-M 'P 1'
_symmetry_Int_Tables_number 1
loop_
_symmetry_equiv_pos_as_xyz
'x,y,z'
loop_
_atom_site_label
_atom_site_fract_x
_atom_site_fract_y
_atom_site_fract_z
Pm1 0.000 0.500 0.000
Pm2 0.500 0.000 0.000
Pr1 0.000 0.000 0.500
Mg1 0.500 0.500 0.500
```

=====

Density functional theory data (GGA-PBE) for an optimized crystal structure of Pm12Pr5Mg2.

Properties
The crystal system is monoclinic. The value obtained for the calculated formation energy is 0.08 eV/atom. As for the density: 6.4 g/cm³. The value obtained for the total magnetization is 0.00 Bohr magnetons per cell. The final energy comes out at -4.35 eV/atom.

The structure in CIF format:
```
data_Pm12Pr5Mg2
_chemical_formula_sum 'Pm12 Pr5 Mg2'
_cell_length_a 9.228
_cell_length_b 9.228
_cell_length_c 8.712
_cell_angle_alpha 92.74
_cell_angle_beta 92.74
_cell_angle_gamma 60.75
_symmetry_space_group_name_H-M 'P 1'
_symmetry_Int_Tables_number 1
loop_
_symmetry_equiv_pos_as_xyz
'x,y,z'
loop_
_atom_site_label
_atom_site_fract_x
_atom_site_fract_y
_atom_site_fract_z
Pm1 0.056 0.056 0.340
Pm2 0.065 0.678 0.315
Pm3 0.173 0.540 0.762
Pm4 0.322 0.935 0.685
Pm5 0.426 0.426 0.119
Pm6 0.460 0.827 0.238
Pm7 0.540 0.173 0.762
Pm8 0.574 0.574 0.881
Pm9 0.678 0.065 0.315
Pm10 0.827 0.460 0.238
Pm11 0.935 0.322 0.685
Pm12 0.944 0.944 0.660
Pr1 0.207 0.207 0.028
Pr2 0.268 0.268 0.430
Pr3 0.500 0.500 0.500
Pr4 0.732 0.732 0.570
Pr5 0.793 0.793 0.972
Mg1 0.164 0.836 0.000
Mg2 0.836 0.164 0.000
```

=====

Density functional theory data (GGA-PBE) for an optimized crystal structure of Pm2Pr7Mg2.

Properties
The crystal system is monoclinic. The value obtained for the calculated formation energy is 0.10 eV/atom. As for the density: 5.9 g/cm³. The calculation puts the energy above the most stable polymorph in this dataset at 0.0 meV/atom. The value obtained for the total magnetization is 0.00 Bohr magnetons per cell. The final energy comes out at -4.10 eV/atom.

The structure in CIF format:
```
data_Pm2Pr7Mg2
_chemical_formula_sum 'Pm2 Pr7 Mg2'
_cell_length_a 8.023
_cell_length_b 8.023
_cell_length_c 6.256
_cell_angle_alpha 104.63
_cell_angle_beta 104.63
_cell_angle_gamma 94.26
_symmetry_space_group_name_H-M 'P 1'
_symmetry_Int_Tables_number 1
loop_
_symmetry_equiv_pos_as_xyz
'x,y,z'
loop_
_atom_site_label
_atom_site_fract_x
_atom_site_fract_y
_atom_site_fract_z
Pm1 0.207 0.207 0.092
Pm2 0.793 0.793 0.908
Pr1 0.000 0.000 0.500
Pr2 0.062 0.579 0.311
Pr3 0.420 0.420 0.702
Pr4 0.421 0.938 0.689
Pr5 0.579 0.062 0.311
Pr6 0.580 0.580 0.298
Pr7 0.938 0.421 0.689
Mg1 0.229 0.771 0.000
Mg2 0.771 0.229 0.000
```

=====

Density functional theory data (GGA-PBE) for an optimized crystal structure of Pm4Pr5Mg.

Properties
The crystal system is tetragonal. The value obtained for the calculated formation energy is -0.01 eV/atom. As for the density: 6.3 g/cm³. The value obtained for the total magnetization is 0.00 Bohr magnetons per cell. The final energy comes out at -4.46 eV/atom.

The structure in CIF format:
```
data_Pm4Pr5Mg
_chemical_formula_sum 'Pm4 Pr5 Mg1'
_cell_length_a 3.706
_cell_length_b 3.706
_cell_length_c 25.028
_cell_angle_alpha 90.00
_cell_angle_beta 90.00
_cell_angle_gamma 90.00
_symmetry_space_group_name_H-M 'P 1'
_symmetry_Int_Tables_number 1
loop_
_symmetry_equiv_pos_as_xyz
'x,y,z'
loop_
_atom_site_label
_atom_site_fract_x
_atom_site_fract_y
_atom_site_fract_z
Pm1 0.000 0.000 0.103
Pm2 0.000 0.000 0.311
Pm3 0.000 0.000 0.689
Pm4 0.000 0.000 0.897
Pr1 0.500 0.500 0.000
Pr2 0.500 0.500 0.207
Pr3 0.500 0.500 0.412
Pr4 0.500 0.500 0.588
Pr5 0.500 0.500 0.793
Mg1 0.000 0.000 0.500
```

=====

Density functional theory data (GGA-PBE) for an optimized crystal structure of Pm7Pr4Mg.

Properties
The crystal system is triclinic. The value obtained for the calculated formation energy is 0.02 eV/atom. As for the density: 6.5 g/cm³. The value obtained for the total magnetization is 0.00 Bohr magnetons per cell. The final energy comes out at -4.48 eV/atom.

The structure in CIF format:
```
data_Pm7Pr4Mg
_chemical_formula_sum 'Pm7 Pr4 Mg1'
_cell_length_a 6.318
_cell_length_b 7.259
_cell_length_c 9.646
_cell_angle_alpha 79.06
_cell_angle_beta 70.95
_cell_angle_gamma 89.82
_symmetry_space_group_name_H-M 'P 1'
_symmetry_Int_Tables_number 1
loop_
_symmetry_equiv_pos_as_xyz
'x,y,z'
loop_
_atom_site_label
_atom_site_fract_x
_atom_site_fract_y
_atom_site_fract_z
Pm1 0.000 0.000 0.000
Pm2 0.164 0.418 0.332
Pm3 0.336 0.832 0.670
Pm4 0.499 0.751 0.000
Pm5 0.501 0.249 0.000
Pm6 0.664 0.168 0.330
Pm7 0.836 0.582 0.668
Pr1 0.170 0.916 0.333
Pr2 0.333 0.334 0.670
Pr3 0.667 0.666 0.330
Pr4 0.830 0.084 0.667
Mg1 0.000 0.500 0.000
```

=====

Density functional theory data (GGA-PBE) for an optimized crystal structure of Pm5Pr12Mg2.

Properties
The crystal system is monoclinic. The value obtained for the calculated formation energy is 0.08 eV/atom. As for the density: 6.2 g/cm³. The value obtained for the total magnetization is 0.00 Bohr magnetons per cell. The final energy comes out at -4.36 eV/atom.

The structure in CIF format:
```
data_Pm5Pr12Mg2
_chemical_formula_sum 'Pm5 Pr12 Mg2'
_cell_length_a 9.287
_cell_length_b 9.287
_cell_length_c 8.773
_cell_angle_alpha 92.92
_cell_angle_beta 92.92
_cell_angle_gamma 60.51
_symmetry_space_group_name_H-M 'P 1'
_symmetry_Int_Tables_number 1
loop_
_symmetry_equiv_pos_as_xyz
'x,y,z'
loop_
_atom_site_label
_atom_site_fract_x
_atom_site_fract_y
_atom_site_fract_z
Pm1 0.000 0.000 0.000
Pm2 0.231 0.231 0.069
Pm3 0.295 0.295 0.470
Pm4 0.705 0.705 0.530
Pm5 0.769 0.769 0.931
Pr1 0.039 0.670 0.263
Pr2 0.076 0.076 0.381
Pr3 0.176 0.566 0.813
Pr4 0.330 0.961 0.737
Pr5 0.434 0.824 0.187
Pr6 0.442 0.442 0.159
Pr7 0.558 0.558 0.841
Pr8 0.566 0.176 0.813
Pr9 0.670 0.039 0.263
Pr10 0.824 0.434 0.187
Pr11 0.924 0.924 0.619
Pr12 0.961 0.330 0.737
Mg1 0.337 0.663 0.500
Mg2 0.663 0.337 0.500
```

=====

Density functional theory data (GGA-PBE) for an optimized crystal structure of PmPrMg2.

Properties
The crystal system is trigonal. The value obtained for the calculated formation energy is 0.04 eV/atom. As for the density: 4.6 g/cm³. The calculation puts the energy above the most stable polymorph in this dataset at 162.2 meV/atom. The value obtained for the total magnetization is 0.00 Bohr magnetons per cell. The final energy comes out at -3.14 eV/atom.

The structure in CIF format:
```
data_PmPrMg2
_chemical_formula_sum 'Pm3 Pr3 Mg6'
_cell_length_a 3.575
_cell_length_b 3.575
_cell_length_c 33.075
_cell_angle_alpha 90.00
_cell_angle_beta 90.00
_cell_angle_gamma 120.00
_symmetry_space_group_name_H-M 'P 1'
_symmetry_Int_Tables_number 1
loop_
_symmetry_equiv_pos_as_xyz
'x,y,z'
loop_
_atom_site_label
_atom_site_fract_x
_atom_site_fract_y
_atom_site_fract_z
Pm1 0.000 0.000 0.000
Pm2 0.333 0.667 0.667
Pm3 0.667 0.333 0.333
Pr1 0.000 0.000 0.500
Pr2 0.333 0.667 0.167
Pr3 0.667 0.333 0.833
Mg1 0.000 0.000 0.251
Mg2 0.000 0.000 0.749
Mg3 0.333 0.667 0.416
Mg4 0.333 0.667 0.917
Mg5 0.667 0.333 0.083
Mg6 0.667 0.333 0.584
```